24
Lattice="-4.2227 2.8157 0.3086 -1.3984 -6.7663 4.1637 5.6095 4.1286 7.7036" Properties=species:S:1:pos:R:3 comment="KSbMo2O8 PBE+U relaxed" sg=P-1 dft_energy_ev_per_atom=-6.563 polymorph_energy_kcal_per_mol_atoms=0.00 pbc="T T T"
Mo 3.3608 3.1462 8.2794
Mo 1.5861 0.2987 5.6932
Mo -3.3724 -2.9683 3.8965
Mo -1.5977 -0.1207 6.4828
O -1.5607 -1.5606 7.4590
O -1.5592 -3.0050 4.4141
O -1.7451 1.8993 5.0021
O 1.9373 -0.1823 10.5134
O 2.9697 0.7513 6.9367
O 4.2719 3.4506 6.8250
O -0.1247 -0.6245 5.0999
O 1.7335 -1.7213 7.1739
O -1.9489 0.3602 1.6625
O 4.0038 1.6638 9.2161
O 1.5476 3.1829 7.7618
O 0.1130 0.8024 7.0760
O -4.2835 -3.2727 5.3509
O 1.5490 1.7386 4.7169
O -4.0154 -1.4858 2.9598
O -2.9813 -0.5733 5.2392
K -0.2296 2.2516 2.6356
K 0.2180 -2.0737 9.5404
Sb -0.1714 2.4818 8.5961
Sb 0.1597 -2.3038 3.5798